This record from Alexandria describes a relaxed structure of YNbTl2O6. The functional is PBE-GGA.

abc: 6.030 6.030 6.030
angles: 60.00 60.00 60.00
Site moments in Bohr magnetons follow the coordinates.
Fractional coordinates of all 10 atoms:
Y (0.000, 0.000, 0.000)  -0.01
Nb (0.500, 0.500, 0.500)  -0.05
Tl (0.750, 0.750, 0.750)  0.05
Tl (0.250, 0.250, 0.250)  0.05
O (0.264, 0.736, 0.736)  0.14
O (0.264, 0.736, 0.264)  0.14
O (0.264, 0.264, 0.736)  0.14
O (0.736, 0.736, 0.264)  0.14
O (0.736, 0.264, 0.264)  0.14
O (0.736, 0.264, 0.736)  0.14

=====

This record from Alexandria describes a relaxed structure of YNb2Tl3O9. The functional is PBE-GGA.

abc: 5.931 5.931 7.479
angles: 90.00 90.00 120.00
Fractional coordinates of all 15 atoms:
Y (0.000, 0.000, 0.500)
Nb (0.333, 0.667, 0.184)
Nb (0.667, 0.333, 0.816)
Tl (0.333, 0.667, 0.736)
Tl (0.000, 0.000, 0.000)
Tl (0.667, 0.333, 0.264)
O (0.827, 0.173, 0.687)
O (0.827, 0.655, 0.687)
O (0.345, 0.173, 0.687)
O (0.655, 0.827, 0.313)
O (0.173, 0.345, 0.313)
O (0.173, 0.827, 0.313)
O (0.500, 0.000, 0.000)
O (0.000, 0.500, 0.000)
O (0.500, 0.500, 0.000)

=====

This record from Alexandria describes a relaxed structure of NbTlZn2O. The functional is PBE-GGA.

abc: 4.861 5.642 4.861
angles: 90.00 90.00 90.00
Site moments in Bohr magnetons follow the coordinates.
Fractional coordinates of all 5 atoms:
Zn (0.000, 0.000, 0.500)  -0.01
Zn (0.500, 0.000, 0.000)  0.01
Tl (0.000, 0.000, 0.000)  -0.02
Nb (0.000, 0.500, 0.000)  2.31
O (0.500, 0.500, 0.500)  -0.54

=====

This record from Alexandria describes a relaxed structure of Nb3TlZn4O12. The functional is PBE-GGA.

abc: 7.040 7.040 7.040
angles: 107.83 107.83 107.83
Fractional coordinates of all 20 atoms:
Nb (0.556, 0.444, 0.000)
Nb (0.444, 0.000, 0.556)
Nb (0.000, 0.556, 0.444)
Tl (0.000, 0.000, 0.000)
Zn (0.945, 0.055, 0.500)
Zn (0.055, 0.500, 0.945)
Zn (0.500, 0.945, 0.055)
Zn (0.500, 0.500, 0.500)
O (0.500, 0.332, 0.668)
O (0.890, 0.500, 0.110)
O (0.110, 0.890, 0.500)
O (0.500, 0.110, 0.890)
O (0.370, 0.961, 0.258)
O (0.258, 0.370, 0.961)
O (0.961, 0.258, 0.370)
O (0.630, 0.742, 0.039)
O (0.039, 0.630, 0.742)
O (0.742, 0.039, 0.630)
O (0.668, 0.500, 0.332)
O (0.332, 0.668, 0.500)

=====

Sequential formation energy (no corrections) output: -1.854 -1.934 1.432 -1.916 eV per atom
Sequential volume output: 155.01 227.82 133.29 283.79 Å³ per cell